# 1
# MnAl4Mo, relaxed, DFT PBE
# DFT total energy = -5.78 eV/atom
data_MnAl4Mo
_chemical_formula_sum 'Mn4 Al16 Mo4'
_cell_length_a 7.1723
_cell_length_b 7.1723
_cell_length_c 7.1723
_cell_angle_alpha 90.00
_cell_angle_beta 90.00
_cell_angle_gamma 90.00
_space_group_name_H-M_alt 'F -4 3 m'
_space_group_IT_number 216
_space_group_name_Hall 'F -4 2 3'
loop_
_atom_site_label
_atom_site_type_symbol
_atom_site_fract_x
_atom_site_fract_y
_atom_site_fract_z
Mn1 Mn 0.0000 0.0000 0.0000
Al1 Al 0.1252 0.1252 0.6252
Mo1 Mo 0.2500 0.2500 0.2500

=====

# 2
# MnAl2Mo2, relaxed, DFT PBE
# DFT total energy = -7.69 eV/atom
data_MnAl2Mo2
_chemical_formula_sum 'Mn2 Al4 Mo4'
_cell_length_a 6.5940
_cell_length_b 6.5940
_cell_length_c 3.4655
_cell_angle_alpha 90.00
_cell_angle_beta 90.00
_cell_angle_gamma 90.00
_space_group_name_H-M_alt 'P 4/m b m'
_space_group_IT_number 127
_space_group_name_Hall '-P 4 2ab'
loop_
_atom_site_label
_atom_site_type_symbol
_atom_site_fract_x
_atom_site_fract_y
_atom_site_fract_z
Mn1 Mn 0.0000 0.0000 0.0000
Al1 Al 0.1315 0.3685 0.0000
Mo1 Mo 0.1719 0.6719 0.5000

=====

# 3
# Mn2AlMo, relaxed, DFT PBE
# DFT total energy = -8.30 eV/atom
data_Mn2AlMo
_chemical_formula_sum 'Mn2 Al1 Mo1'
_cell_length_a 2.6993
_cell_length_b 2.6993
_cell_length_c 7.0976
_cell_angle_alpha 90.00
_cell_angle_beta 90.00
_cell_angle_gamma 90.00
_space_group_name_H-M_alt 'P 4 m m'
_space_group_IT_number 99
loop_
_space_group_symop_operation_xyz
'x,y,z'
'-y,x,z'
'-x,-y,z'
'y,-x,z'
'-x,y,z'
'y,x,z'
'x,-y,z'
'-y,-x,z'
loop_
_atom_site_label
_atom_site_type_symbol
_atom_site_fract_x
_atom_site_fract_y
_atom_site_fract_z
Mn1 Mn 0.0000 0.0000 0.0000
Mn2 Mn 0.5000 0.5000 0.1888
Al1 Al 0.5000 0.5000 0.7594
Mo1 Mo 0.0000 0.0000 0.4676

=====

# 4
# Mn2AlMo, relaxed, DFT PBE
# DFT total energy = -8.07 eV/atom
data_Mn2AlMo
_chemical_formula_sum 'Mn6 Al3 Mo3'
_cell_length_a 2.7017
_cell_length_b 2.7017
_cell_length_c 26.5009
_cell_angle_alpha 90.00
_cell_angle_beta 90.00
_cell_angle_gamma 120.00
_space_group_name_H-M_alt 'R -3 m'
_space_group_IT_number 166
_space_group_name_Hall '-R 3 2"'
loop_
_atom_site_label
_atom_site_type_symbol
_atom_site_fract_x
_atom_site_fract_y
_atom_site_fract_z
Mn1 Mn 0.0000 0.0000 0.2471
Al1 Al 0.0000 0.0000 0.5000
Mo1 Mo 0.0000 0.0000 0.0000

=====

# 5
# MnAlMo, relaxed, DFT PBE
# DFT total energy = -7.69 eV/atom
# distance to the lowest polymorph of the same formula = 435 meV per atom
data_MnAlMo
_chemical_formula_sum 'Mn4 Al4 Mo4'
_cell_length_a 5.7622
_cell_length_b 5.7622
_cell_length_c 5.7622
_cell_angle_alpha 90.00
_cell_angle_beta 90.00
_cell_angle_gamma 90.00
_space_group_name_H-M_alt 'F -4 3 m'
_space_group_IT_number 216
_space_group_name_Hall 'F -4 2 3'
loop_
_atom_site_label
_atom_site_type_symbol
_atom_site_fract_x
_atom_site_fract_y
_atom_site_fract_z
Mn1 Mn 0.0000 0.0000 0.0000
Al1 Al 0.2500 0.2500 0.7500
Mo1 Mo 0.2500 0.2500 0.2500

=====

# 6
# MnAlMo, relaxed, DFT PBE
# DFT total energy = -7.95 eV/atom
# distance to the lowest polymorph of the same formula = 173 meV per atom
data_MnAlMo
_chemical_formula_sum 'Mn2 Al2 Mo2'
_cell_length_a 2.6891
_cell_length_b 2.6891
_cell_length_c 11.7744
_cell_angle_alpha 90.00
_cell_angle_beta 90.00
_cell_angle_gamma 90.00
_space_group_name_H-M_alt 'I 4 m m'
_space_group_IT_number 107
_space_group_name_Hall 'I 4 -2'
loop_
_atom_site_label
_atom_site_type_symbol
_atom_site_fract_x
_atom_site_fract_y
_atom_site_fract_z
Mn1 Mn 0.0000 0.0000 0.0000
Al1 Al 0.0000 0.0000 0.3493
Mo1 Mo 0.0000 0.0000 0.6715

=====

# 7
# MnAlMo2, relaxed, DFT PBE
# DFT total energy = -8.67 eV/atom
data_MnAlMo2
_chemical_formula_sum 'Mn2 Al2 Mo4'
_cell_length_a 5.2757
_cell_length_b 8.5796
_cell_length_c 2.6837
_cell_angle_alpha 90.00
_cell_angle_beta 105.42
_cell_angle_gamma 90.00
_space_group_name_H-M_alt 'C 1 2/m 1'
_space_group_IT_number 12
loop_
_space_group_symop_operation_xyz
'x,y,z'
'-x,-y,-z'
'-x,y,-z'
'x,-y,z'
'x+1/2,y+1/2,z'
'-x+1/2,-y+1/2,-z'
'-x+1/2,y+1/2,-z'
'x+1/2,-y+1/2,z'
loop_
_atom_site_label
_atom_site_type_symbol
_atom_site_fract_x
_atom_site_fract_y
_atom_site_fract_z
Mn1 Mn 0.0000 0.0000 0.0000
Al1 Al 0.0000 0.5000 0.0000
Mo1 Mo 0.2500 0.2500 0.5000

=====

# 8
# Mn2Al2Mo, relaxed, DFT PBE
# DFT total energy = -7.20 eV/atom
# distance to the lowest polymorph of the same formula = 155 meV per atom
data_Mn2Al2Mo
_chemical_formula_sum 'Mn4 Al4 Mo2'
_cell_length_a 6.5978
_cell_length_b 6.5978
_cell_length_c 3.1090
_cell_angle_alpha 90.00
_cell_angle_beta 90.00
_cell_angle_gamma 90.00
_space_group_name_H-M_alt 'P 4/m b m'
_space_group_IT_number 127
_space_group_name_Hall '-P 4 2ab'
loop_
_atom_site_label
_atom_site_type_symbol
_atom_site_fract_x
_atom_site_fract_y
_atom_site_fract_z
Mn1 Mn 0.1526 0.3474 0.0000
Al1 Al 0.1463 0.6463 0.5000
Mo1 Mo 0.0000 0.0000 0.0000

=====

# 9
# MnAlMo2, relaxed, DFT PBE
# DFT total energy = -8.69 eV/atom
data_MnAlMo2
_chemical_formula_sum 'Mn4 Al4 Mo8'
_cell_length_a 6.1486
_cell_length_b 6.1486
_cell_length_c 6.1486
_cell_angle_alpha 90.00
_cell_angle_beta 90.00
_cell_angle_gamma 90.00
_space_group_name_H-M_alt 'F -4 3 m'
_space_group_IT_number 216
_space_group_name_Hall 'F -4 2 3'
loop_
_atom_site_label
_atom_site_type_symbol
_atom_site_fract_x
_atom_site_fract_y
_atom_site_fract_z
Mn1 Mn 0.0000 0.0000 0.0000
Al1 Al 0.2500 0.2500 0.7500
Mo1 Mo 0.0000 0.0000 0.5000
Mo2 Mo 0.2500 0.2500 0.2500

=====

# 10
# MnAlMo2, relaxed, DFT PBE
# DFT total energy = -8.70 eV/atom
data_MnAlMo2
_chemical_formula_sum 'Mn1 Al1 Mo2'
_cell_length_a 2.6874
_cell_length_b 4.2239
_cell_length_c 5.2790
_cell_angle_alpha 90.00
_cell_angle_beta 104.67
_cell_angle_gamma 90.00
_space_group_name_H-M_alt 'P 1 2/m 1'
_space_group_IT_number 10
loop_
_space_group_symop_operation_xyz
'x,y,z'
'-x,-y,-z'
'-x,y,-z'
'x,-y,z'
loop_
_atom_site_label
_atom_site_type_symbol
_atom_site_fract_x
_atom_site_fract_y
_atom_site_fract_z
Mn1 Mn 0.0000 0.0000 0.0000
Al1 Al 0.5000 0.0000 0.5000
Mo1 Mo 0.2280 0.5000 0.7531

=====

# 11
# Mn2AlMo, relaxed, DFT PBE
# DFT total energy = -8.25 eV/atom
data_Mn2AlMo
_chemical_formula_sum 'Mn2 Al1 Mo1'
_cell_length_a 3.0520
_cell_length_b 3.0520
_cell_length_c 5.9339
_cell_angle_alpha 90.00
_cell_angle_beta 90.00
_cell_angle_gamma 90.00
_space_group_name_H-M_alt 'P 4 m m'
_space_group_IT_number 99
loop_
_space_group_symop_operation_xyz
'x,y,z'
'-y,x,z'
'-x,-y,z'
'y,-x,z'
'-x,y,z'
'y,x,z'
'x,-y,z'
'-y,-x,z'
loop_
_atom_site_label
_atom_site_type_symbol
_atom_site_fract_x
_atom_site_fract_y
_atom_site_fract_z
Mn1 Mn 0.0000 0.0000 0.0000
Mn2 Mn 0.5000 0.5000 0.2402
Al1 Al 0.5000 0.5000 0.7479
Mo1 Mo 0.0000 0.0000 0.4660

=====

# 12
# MnAlMo2, relaxed, DFT PBE
# DFT total energy = -8.69 eV/atom
data_MnAlMo2
_chemical_formula_sum 'Mn2 Al2 Mo4'
_cell_length_a 3.1030
_cell_length_b 4.3192
_cell_length_c 8.5078
_cell_angle_alpha 90.00
_cell_angle_beta 90.00
_cell_angle_gamma 90.00
_space_group_name_H-M_alt 'I m m 2'
_space_group_IT_number 44
loop_
_space_group_symop_operation_xyz
'x,y,z'
'-x,-y,z'
'-x,y,z'
'x,-y,z'
'x+1/2,y+1/2,z+1/2'
'-x+1/2,-y+1/2,z+1/2'
'-x+1/2,y+1/2,z+1/2'
'x+1/2,-y+1/2,z+1/2'
loop_
_atom_site_label
_atom_site_type_symbol
_atom_site_fract_x
_atom_site_fract_y
_atom_site_fract_z
Mn1 Mn 0.0000 0.0000 0.0000
Al1 Al 0.0000 0.5000 0.2532
Mo1 Mo 0.0000 0.0000 0.4841
Mo2 Mo 0.0000 0.5000 0.7352